(1)
The following is a DFT calculation (SCAN) of a crystal of ZrMn2Pb relaxed with PBEsol.

extended XYZ file:
```
4
Lattice="1.888 1.090 5.742 -1.888 1.090 5.742 0.000 -2.180 5.742" Properties=species:S:1:pos:R:3 pbc="T T T"
Zr 0.000 0.000 0.000
Mn 0.000 0.000 7.583
Mn 0.000 0.000 13.136
Pb 0.000 0.000 3.516
```

## Properties
Its uncorrected energy is -142.32 eV for the cell shown. The symmetry is No. 160. The energy of formation from the pure elements is 0.1685 eV/atom.


(2)
The following is a DFT calculation (SCAN) of a crystal of ZrMnPb relaxed with PBEsol.

extended XYZ file:
```
3
Lattice="-1.690 1.690 5.090 1.690 -1.690 5.090 1.690 1.690 -5.090" Properties=species:S:1:pos:R:3 pbc="T T T"
Zr 0.000 0.000 0.000
Mn 0.000 0.000 3.624
Pb 0.000 0.000 7.106
```

## Properties
Its uncorrected energy is -125.03 eV for the cell shown. The symmetry is No. 107. The energy of formation from the pure elements is -0.0976 eV/atom.


(3)
The following is a DFT calculation (SCAN) of a crystal of MnPd3 relaxed with PBEsol.

extended XYZ file:
```
4
Lattice="1.382 0.798 8.656 -1.382 0.798 8.656 0.000 -1.595 8.656" Properties=species:S:1:pos:R:3 pbc="T T T"
Mn 0.000 0.000 0.000
Pd 0.000 0.000 6.607
Pd 0.000 0.000 12.984
Pd 0.000 0.000 19.360
```

## Properties
Its uncorrected energy is -117.60 eV for the cell shown. The symmetry is No. 166. The energy of formation from the pure elements is -0.2550 eV/atom.


(4)
The following is a DFT calculation (SCAN) of a crystal of MnPd3 relaxed with PBEsol.

extended XYZ file:
```
8
Lattice="5.459 0.000 0.000 -2.729 4.727 0.000 0.000 0.000 4.443" Properties=species:S:1:pos:R:3 pbc="T T T"
Mn 0.000 3.152 1.111
Mn 2.729 1.576 3.332
Pd 0.000 1.584 3.332
Pd -1.358 3.936 3.332
Pd 1.371 0.792 1.111
Pd 1.358 3.936 3.332
Pd 4.087 0.792 1.111
Pd 2.729 3.144 1.111
```

## Properties
Its uncorrected energy is -236.35 eV for the cell shown. The symmetry is No. 194. The energy of formation from the pure elements is -0.3998 eV/atom.


(5)
The following is a DFT calculation (SCAN) of a crystal of MnPd3 relaxed with PBEsol.

extended XYZ file:
```
4
Lattice="-1.940 1.940 3.820 1.940 -1.940 3.820 1.940 1.940 -3.820" Properties=species:S:1:pos:R:3 pbc="T T T"
Mn 0.000 0.000 0.000
Pd 1.940 0.000 1.910
Pd 0.000 0.000 3.820
Pd 0.000 1.940 1.910
```

## Properties
Its uncorrected energy is -118.14 eV for the cell shown. The symmetry is No. 139. The energy of formation from the pure elements is -0.3898 eV/atom.


(6)
The following is a DFT calculation (SCAN) of a crystal of Mn11Pd21 relaxed with PBEsol.

extended XYZ file:
```
32
Lattice="7.887 0.000 0.000 0.000 7.887 0.000 0.000 0.000 7.367" Properties=species:S:1:pos:R:3 pbc="T T T"
Mn 0.000 0.000 0.000
Mn 0.000 3.943 3.684
Mn 1.947 1.947 3.684
Mn 1.947 5.940 3.684
Mn 2.045 2.045 0.000
Mn 2.045 5.842 0.000
Mn 3.943 0.000 3.684
Mn 5.842 2.045 0.000
Mn 5.842 5.842 0.000
Mn 5.940 1.947 3.684
Mn 5.940 5.940 3.684
Pd 0.000 0.000 3.684
Pd 0.000 1.966 1.812
Pd 0.000 1.966 5.555
Pd 0.000 3.943 0.000
Pd 0.000 5.921 1.812
Pd 0.000 5.921 5.555
Pd 1.948 3.943 1.907
Pd 1.948 3.943 5.460
Pd 1.966 0.000 1.812
Pd 1.966 0.000 5.555
Pd 3.943 0.000 0.000
Pd 3.943 1.948 1.907
Pd 3.943 1.948 5.460
Pd 3.943 3.943 0.000
Pd 3.943 3.943 3.684
Pd 3.943 5.939 1.907
Pd 3.943 5.939 5.460
Pd 5.921 0.000 1.812
Pd 5.921 0.000 5.555
Pd 5.939 3.943 1.907
Pd 5.939 3.943 5.460
```

## Properties
Its uncorrected energy is -904.78 eV for the cell shown. The symmetry is No. 123. The energy of formation from the pure elements is -0.4910 eV/atom.